Record 1
Cs2ZnBi2 | PBE | optimized geometry

The density comes out at 5.39 g/cm3. The calculation puts the energy above the most stable polymorph in this dataset at 0.0000 eV per atom.

The structure belongs to space group C2/c (No. 15); the cell edges are 12.633, 7.634 and 9.611 Å and the angles 90.00°, 95.29° and 90.00°. Symmetry generates all atoms from Cs at (0.154, 0.119, 0.159), Zn at (0.000, 0.382, 0.750) and Bi at (0.104, 0.380, 0.522).

=====

Record 2
Dy2HfS5 | PBE | optimized geometry

The density comes out at 6.81 g/cm3. As for the energy relative to the elements, uncorrected: -1.885 eV/atom. The calculation puts the energy above the most stable polymorph in this dataset at 0.0000 eV per atom.

The structure belongs to space group Pnma (No. 62); the cell edges are 11.543, 7.736 and 7.255 Å and the angles 90.00°, 90.00° and 90.00°. Symmetry generates all atoms from Dy at (0.179, 0.003, 0.022), Hf at (0.006, 0.750, 0.576), S at (0.004, 0.750, 0.947), S at (0.093, 0.037, 0.660), S at (0.181, 0.750, 0.333) and S at (0.207, 0.250, 0.310).

=====

Copy entry 1 word for word.
Cs2ZnBi2 | PBE | optimized geometry

The density comes out at 5.39 g/cm3. The calculation puts the energy above the most stable polymorph in this dataset at 0.0000 eV per atom.

The structure belongs to space group C2/c (No. 15); the cell edges are 12.633, 7.634 and 9.611 Å and the angles 90.00°, 95.29° and 90.00°. Symmetry generates all atoms from Cs at (0.154, 0.119, 0.159), Zn at (0.000, 0.382, 0.750) and Bi at (0.104, 0.380, 0.522).